1.
A PBEsol-optimized structure of Ta. Source: Alexandria via LeMat-Bulk, functional meta-GGA SCAN.

a = 2.842 Å, b = 2.842 Å, c = 2.842 Å
α = 109.47°, β = 109.47°, γ = 109.47°
Sites, in units of the cell vectors:
Ta: 0.000 0.000 0.000

Calculated values
symmetry: Im-3m (229)
energy relative to the elements: 0.0 kJ/mol of formula units



2.
A PBEsol-optimized structure of YSc2In. Source: Alexandria via LeMat-Bulk, functional meta-GGA SCAN.

a = 3.369 Å, b = 3.369 Å, c = 8.581 Å
α = 90.00°, β = 90.00°, γ = 90.00°
Last column: magnetic moment on the atom in μB.
Sites, in units of the cell vectors:
Y: 0.500 0.500 0.000  0.13
Sc: 0.000 0.000 0.275  0.13
Sc: 0.000 0.000 0.725  0.13
In: 0.500 0.500 0.500  0.00

Calculated values
symmetry: P4/mmm (123)
energy relative to the elements: -110.6 kJ/mol of formula units



3.
A PBEsol-optimized structure of LiAg3. Source: Alexandria via LeMat-Bulk, functional meta-GGA SCAN.

a = 2.866 Å, b = 4.894 Å, c = 4.880 Å
α = 99.09°, β = 90.00°, γ = 107.02°
Sites, in units of the cell vectors:
Ag: 0.248 0.497 0.752
Ag: 0.500 0.000 0.500
Ag: 0.752 0.503 0.248
Li: 0.000 0.000 0.000

Calculated values
symmetry: C2/m (12)
energy relative to the elements: -42.3 kJ/mol of formula units



4.
A PBEsol-optimized structure of TaMn2Cr. Source: Alexandria via LeMat-Bulk, functional meta-GGA SCAN.

a = 2.613 Å, b = 4.760 Å, c = 4.760 Å
α = 115.42°, β = 100.77°, γ = 100.77°
Last column: magnetic moment on the atom in μB.
Sites, in units of the cell vectors:
Cr: 0.500 0.500 0.500  -1.40
Mn: 0.000 0.500 0.000  1.91
Mn: 0.000 0.000 0.500  1.91
Ta: 0.500 0.000 0.000  -0.26

Calculated values
symmetry: C2/m (12)
energy relative to the elements: 41.8 kJ/mol of formula units



5.
A PBEsol-optimized structure of Li2InPb. Source: Alexandria via LeMat-Bulk, functional meta-GGA SCAN.

a = 4.356 Å, b = 4.356 Å, c = 5.438 Å
α = 113.61°, β = 113.61°, γ = 90.00°
Sites, in units of the cell vectors:
Li: 0.000 0.000 0.000
Li: 0.750 0.250 0.500
Pb: 0.500 0.500 0.000
In: 0.250 0.750 0.500

Calculated values
symmetry: I-4m2 (119)
energy relative to the elements: -126.3 kJ/mol of formula units



6.
A PBEsol-optimized structure of LiZn3. Source: Alexandria via LeMat-Bulk, functional meta-GGA SCAN.

a = 4.243 Å, b = 4.243 Å, c = 4.243 Å
α = 60.00°, β = 60.00°, γ = 60.00°
Sites, in units of the cell vectors:
Li: 0.000 0.000 0.000
Zn: 0.500 0.500 0.500
Zn: 0.250 0.250 0.250
Zn: 0.750 0.750 0.750

Calculated values
symmetry: Fm-3m (225)
energy relative to the elements: -76.6 kJ/mol of formula units



7.
A PBEsol-optimized structure of HgTeO3. Source: Alexandria via LeMat-Bulk, functional meta-GGA SCAN.

a = 4.103 Å, b = 4.103 Å, c = 4.103 Å
α = 90.00°, β = 90.00°, γ = 90.00°
Sites, in units of the cell vectors:
O: 0.000 0.000 0.500
O: 0.000 0.500 0.000
O: 0.500 0.000 0.000
Te: 0.000 0.000 0.000
Hg: 0.500 0.500 0.500

Calculated values
uncorrected formation energy: -10.98 kcal/mol of atoms
symmetry: Pm-3m (221)



8.
A PBEsol-optimized structure of Ca2ReMo. Source: Alexandria via LeMat-Bulk, functional meta-GGA SCAN.

a = 3.681 Å, b = 4.061 Å, c = 5.059 Å
α = 90.00°, β = 90.00°, γ = 90.00°
Sites, in units of the cell vectors:
Ca: 0.000 0.000 0.000
Ca: 0.500 0.500 0.000
Mo: 0.500 0.000 0.500
Re: 0.000 0.500 0.500

Calculated values
symmetry: Pmmm (47)
energy relative to the elements: 319.2 kJ/mol of formula units



Number 1: spin magnetization 0.0 μB per formula unit. Number 2: spin magnetization 0.6 μB per formula unit. Number 3: spin magnetization 0.0 μB per formula unit. Number 4: spin magnetization 2.1 μB per formula unit. Number 5: spin magnetization 0.0 μB per formula unit. Number 6: spin magnetization 0.0 μB per formula unit. Number 7: spin magnetization 0.0 μB per formula unit. Number 8: spin magnetization 0.0 μB per formula unit.